No. 1
This record from Alexandria describes crystalline CdRh2S at its relaxed geometry. The functional is PBE.

Cell lengths 5.668, 4.334, 11.750 Å; angles 90.00, 105.18, 90.00 degrees
Positions (direct):
S 0.810 0.367 0.131
S 0.190 0.367 0.869
S 0.810 0.867 0.631
S 0.190 0.867 0.369
Rh 0.000 0.181 0.000
Rh 0.000 0.681 0.500
Rh 0.500 0.647 0.500
Rh 0.500 0.147 0.000
Rh 0.143 0.365 0.305
Rh 0.857 0.365 0.695
Rh 0.143 0.865 0.805
Rh 0.857 0.865 0.195
Cd 0.322 0.695 0.123
Cd 0.678 0.695 0.877
Cd 0.322 0.195 0.623
Cd 0.678 0.195 0.377

Results
* crystal system: monoclinic
* formation energy (no corrections): -238.0 meV/atom


No. 2
This record from Alexandria describes crystalline CdRh2S at its relaxed geometry. The functional is PBE.

Cell lengths 6.899, 6.899, 5.678 Å; angles 52.59, 52.59, 90.00 degrees
Positions (direct):
S 0.500 0.500 0.000
S 0.250 0.750 0.500
Rh 0.541 0.125 0.250
Rh 0.209 0.625 0.250
Rh 0.375 0.459 0.750
Rh 0.875 0.791 0.750
Cd 0.000 0.000 0.000
Cd 0.750 0.250 0.500

Results
* crystal system: tetragonal
* formation energy (no corrections): -43.7 meV/atom


No. 3
This record from Alexandria describes crystalline CdRhS3 at its relaxed geometry. The functional is PBE.

Cell lengths 4.682, 4.682, 4.682 Å; angles 90.00, 90.00, 90.00 degrees
Each line ends with the local moment (μB).
Positions (direct):
S 0.000 0.500 0.000  0.26
S 0.000 0.000 0.500  0.12
S 0.500 0.000 0.000  0.40
Rh 0.000 0.000 0.000  0.40
Cd 0.500 0.500 0.500  -0.01

Results
* ΔE to the lowest computed polymorph: 0.00 eV per formula unit
* crystal system: cubic
* formation energy (no corrections): 297.0 meV/atom


No. 4
This record from Alexandria describes crystalline Cd2RhS at its relaxed geometry. The functional is PBE.

Cell lengths 7.525, 7.525, 5.974 Å; angles 50.96, 50.96, 90.00 degrees
Positions (direct):
S 0.500 0.500 0.000
S 0.250 0.750 0.500
Rh 0.000 0.000 0.000
Rh 0.750 0.250 0.500
Cd 0.609 0.125 0.250
Cd 0.141 0.625 0.250
Cd 0.375 0.391 0.750
Cd 0.875 0.859 0.750

Results
* crystal system: tetragonal
* formation energy (no corrections): 143.1 meV/atom


No. 5
This record from Alexandria describes crystalline CdRh2S at its relaxed geometry. The functional is PBE.

Cell lengths 7.546, 3.191, 12.113 Å; angles 90.00, 112.79, 90.00 degrees
Positions (direct):
S 0.630 0.000 0.697
S 0.630 0.500 0.197
S 0.229 0.000 0.934
S 0.229 0.500 0.434
Rh 0.390 0.000 0.142
Rh 0.390 0.500 0.642
Rh 0.903 0.000 0.867
Rh 0.903 0.500 0.367
Rh 0.758 0.000 0.116
Rh 0.758 0.500 0.616
Rh 0.212 0.000 0.302
Rh 0.212 0.500 0.802
Cd 0.609 0.000 0.408
Cd 0.609 0.500 0.908
Cd 0.046 0.000 0.588
Cd 0.046 0.500 0.088

Results
* crystal system: monoclinic
* formation energy (no corrections): -184.0 meV/atom


No. 6
This record from Alexandria describes crystalline CdTeRhS2 at its relaxed geometry. The functional is PBE.

Cell lengths 4.506, 5.663, 4.506 Å; angles 90.00, 90.00, 90.00 degrees
Positions (direct):
S 0.000 0.000 0.500
S 0.500 0.000 0.000
Te 0.500 0.500 0.500
Rh 0.000 0.000 0.000
Cd 0.000 0.500 0.000

Results
* crystal system: tetragonal
* formation energy (no corrections): 226.6 meV/atom


No. 7
This record from Alexandria describes crystalline Tl2CdRhS at its relaxed geometry. The functional is PBE.

Cell lengths 5.546, 4.463, 5.546 Å; angles 90.00, 90.00, 90.00 degrees
Positions (direct):
Tl 0.000 0.000 0.500
Tl 0.500 0.000 0.000
Rh 0.000 0.000 0.000
S 0.000 0.500 0.000
Cd 0.500 0.500 0.500

Results
* crystal system: tetragonal
* formation energy (no corrections): 21.0 meV/atom


No. 8
This record from Alexandria describes crystalline CdRhW2S at its relaxed geometry. The functional is PBE.

Cell lengths 4.748, 5.054, 4.748 Å; angles 90.00, 90.00, 90.00 degrees
Each line ends with the local moment (μB).
Positions (direct):
S 0.500 0.500 0.500  -0.10
Rh 0.000 0.000 0.000  0.00
W 0.000 0.000 0.500  0.99
W 0.500 0.000 0.000  1.02
Cd 0.000 0.500 0.000  -0.01

Results
* crystal system: tetragonal
* formation energy (no corrections): 1696.3 meV/atom


Number 1: Fermi-level density of states 6.577 states/eV/cell. Number 2: Fermi-level density of states 1.702 states/eV/cell. Number 3: Fermi-level density of states 5.370 states/eV/cell. Number 4: Fermi-level density of states 3.854 states/eV/cell. Number 5: Fermi-level density of states 7.966 states/eV/cell. Number 6: Fermi-level density of states 3.858 states/eV/cell. Number 7: Fermi-level density of states 3.412 states/eV/cell. Number 8: Fermi-level density of states 3.755 states/eV/cell.